Here is a relaxed structure of Na4YU3N8 from Alexandria via LeMat-Bulk. Energies are from GGA-PBE.

Cell: 6.967 6.967 6.967 Å, 60.25 60.25 60.25°
Element x y z (fractional)
Na (0.000, 0.000, 0.000)
Na (0.000, 0.500, 0.500)
Na (0.500, 0.000, 0.500)
Na (0.500, 0.500, 0.000)
Y (0.500, 0.500, 0.500)
U (0.000, 0.000, 0.500)
U (0.000, 0.500, 0.000)
U (0.500, 0.000, 0.000)
N (0.203, 0.740, 0.740)
N (0.229, 0.229, 0.229)
N (0.260, 0.260, 0.797)
N (0.260, 0.797, 0.260)
N (0.740, 0.203, 0.740)
N (0.740, 0.740, 0.203)
N (0.771, 0.771, 0.771)
N (0.797, 0.260, 0.260)

total DFT energy (no corrections)	-8.09	eV/atom
space-group type	No. 166
theoretical density	7.0	g/cm3
total magnetization	1.1	μB per formula unit
uncorrected formation energy	-1.076	eV/atom

Here is a relaxed structure of NaUZnN3 from Alexandria via LeMat-Bulk. Energies are from GGA-PBE.

Cell: 6.046 3.549 8.454 Å, 90.00 102.52 90.00°
Element x y z (fractional)
Na (0.123, 0.250, 0.187)
Na (0.877, 0.750, 0.813)
U (0.378, 0.250, 0.823)
U (0.622, 0.750, 0.177)
Zn (0.175, 0.750, 0.541)
Zn (0.825, 0.250, 0.459)
N (0.054, 0.250, 0.664)
N (0.315, 0.750, 0.978)
N (0.469, 0.750, 0.702)
N (0.531, 0.250, 0.298)
N (0.685, 0.250, 0.022)
N (0.946, 0.750, 0.336)

total DFT energy (no corrections)	-7.15	eV/atom
space-group type	No. 11
theoretical density	6.9	g/cm3
total magnetization	0.0	μB per formula unit
uncorrected formation energy	-0.675	eV/atom

Here is a relaxed structure of NaVN3 from Alexandria via LeMat-Bulk. Energies are from GGA-PBE.

Cell: 3.868 3.868 3.868 Å, 90.00 90.00 90.00°
Element x y z (fractional)
Na (0.000, 0.000, 0.000)
V (0.500, 0.500, 0.500)
N (0.000, 0.500, 0.500)
N (0.500, 0.000, 0.500)
N (0.500, 0.500, 0.000)

total DFT energy (no corrections)	-6.78	eV/atom
space-group type	No. 221
theoretical density	3.3	g/cm3
total magnetization	2.2	μB per formula unit
uncorrected formation energy	0.303	eV/atom

Here is a relaxed structure of Na2V2N3 from Alexandria via LeMat-Bulk. Energies are from GGA-PBE.

Cell: 5.515 6.017 5.683 Å, 90.00 111.34 90.00°
Element x y z (fractional)
Na (0.186, 0.139, 0.434)
Na (0.186, 0.361, 0.934)
Na (0.814, 0.639, 0.066)
Na (0.814, 0.861, 0.566)
V (0.332, 0.615, 0.569)
V (0.332, 0.885, 0.069)
V (0.668, 0.115, 0.931)
V (0.668, 0.385, 0.431)
N (0.000, 0.000, 0.000)
N (0.000, 0.500, 0.500)
N (0.431, 0.623, 0.267)
N (0.431, 0.877, 0.767)
N (0.569, 0.123, 0.233)
N (0.569, 0.377, 0.733)

total DFT energy (no corrections)	-7.22	eV/atom
space-group type	No. 14
theoretical density	3.6	g/cm3
total magnetization	1.0	μB per formula unit
uncorrected formation energy	-0.670	eV/atom

Here is a relaxed structure of Na3VN from Alexandria via LeMat-Bulk. Energies are from GGA-PBE.

Cell: 5.913 5.913 5.913 Å, 90.00 90.00 90.00°
Element x y z (fractional)
Na (0.000, 0.000, 0.500)
Na (0.000, 0.500, 0.000)
Na (0.500, 0.000, 0.000)
V (0.000, 0.000, 0.000)
N (0.500, 0.500, 0.500)

distance to the lowest polymorph of the same formula	0.8787	eV per atom
total DFT energy (no corrections)	-2.42	eV/atom
space-group type	No. 221
theoretical density	1.1	g/cm3
total magnetization	6.8	μB per formula unit
uncorrected formation energy	1.857	eV/atom

Here is a relaxed structure of NaV3N from Alexandria via LeMat-Bulk. Energies are from GGA-PBE.

Cell: 4.041 4.041 4.041 Å, 90.00 90.00 90.00°
Element x y z (fractional)
Na (0.000, 0.000, 0.000)
V (0.000, 0.500, 0.500)
V (0.500, 0.000, 0.500)
V (0.500, 0.500, 0.000)
N (0.500, 0.500, 0.500)

total DFT energy (no corrections)	-7.29	eV/atom
space-group type	No. 221
theoretical density	4.8	g/cm3
total magnetization	0.0	μB per formula unit
uncorrected formation energy	0.106	eV/atom

Here is a relaxed structure of NaVN from Alexandria via LeMat-Bulk. Energies are from GGA-PBE.

Cell: 2.814 5.238 6.014 Å, 90.00 90.31 90.00°
Element x y z (fractional)
Na (0.007, 0.250, 0.377)
Na (0.993, 0.750, 0.623)
V (0.499, 0.250, 0.925)
V (0.501, 0.750, 0.075)
N (0.000, 0.000, 0.000)
N (0.000, 0.500, 0.000)

distance to the lowest polymorph of the same formula	0.1845	eV per atom
total DFT energy (no corrections)	-6.64	eV/atom
space-group type	No. 11
theoretical density	3.3	g/cm3
total magnetization	0.0	μB per formula unit
uncorrected formation energy	-0.389	eV/atom

Here is a relaxed structure of NaVN3 from Alexandria via LeMat-Bulk. Energies are from GGA-PBE.

Cell: 3.924 3.924 3.924 Å, 90.00 90.00 90.00°
Element x y z (fractional)
Na (0.000, 0.000, 0.000)
V (0.500, 0.500, 0.500)
N (0.000, 0.000, 0.500)
N (0.000, 0.500, 0.000)
N (0.500, 0.000, 0.000)

total DFT energy (no corrections)	-4.45	eV/atom
space-group type	No. 221
theoretical density	3.2	g/cm3
total magnetization	3.2	μB per formula unit
uncorrected formation energy	2.635	eV/atom

Here is a relaxed structure of Na3VN from Alexandria via LeMat-Bulk. Energies are from GGA-PBE.

Cell: 4.800 4.800 4.800 Å, 90.00 90.00 90.00°
Element x y z (fractional)
Na (0.000, 0.000, 0.500)
Na (0.000, 0.500, 0.000)
Na (0.500, 0.000, 0.000)
V (0.500, 0.500, 0.500)
N (0.000, 0.000, 0.000)

distance to the lowest polymorph of the same formula	0.0000	eV per atom
total DFT energy (no corrections)	-3.30	eV/atom
space-group type	No. 221
theoretical density	2.0	g/cm3
total magnetization	4.6	μB per formula unit
uncorrected formation energy	0.979	eV/atom

Here is a relaxed structure of Na3VN8 from Alexandria via LeMat-Bulk. Energies are from GGA-PBE.

Cell: 6.404 6.404 6.404 Å, 121.15 121.15 88.02°
Element x y z (fractional)
Na (0.000, 0.000, 0.000)
Na (0.250, 0.750, 0.500)
Na (0.750, 0.250, 0.500)
V (0.500, 0.500, 0.000)
N (0.187, 0.525, 0.000)
N (0.245, 0.706, 0.000)
N (0.294, 0.294, 0.538)
N (0.475, 0.475, 0.662)
N (0.525, 0.187, 0.000)
N (0.706, 0.245, 0.000)
N (0.755, 0.755, 0.462)
N (0.813, 0.813, 0.338)

total DFT energy (no corrections)	-6.67	eV/atom
space-group type	No. 121
theoretical density	2.1	g/cm3
total magnetization	0.0	μB per formula unit
uncorrected formation energy	-0.034	eV/atom

Here is a relaxed structure of NaVN from Alexandria via LeMat-Bulk. Energies are from GGA-PBE.

Cell: 2.820 2.820 5.182 Å, 90.00 90.00 90.00°
Element x y z (fractional)
Na (0.000, 0.000, 0.000)
V (0.500, 0.500, 0.500)
N (0.000, 0.000, 0.500)

distance to the lowest polymorph of the same formula	0.2083	eV per atom
total DFT energy (no corrections)	-6.62	eV/atom
space-group type	No. 123
theoretical density	3.5	g/cm3
total magnetization	0.0	μB per formula unit
uncorrected formation energy	-0.365	eV/atom

Here is a relaxed structure of NaVN from Alexandria via LeMat-Bulk. Energies are from GGA-PBE.

Cell: 10.933 10.933 2.805 Å, 97.13 97.13 14.46°
Element x y z (fractional)
Na (0.180, 0.180, 0.173)
Na (0.820, 0.820, 0.827)
V (0.055, 0.055, 0.551)
V (0.945, 0.945, 0.449)
N (0.423, 0.423, 0.928)
N (0.577, 0.577, 0.072)

distance to the lowest polymorph of the same formula	0.1842	eV per atom
total DFT energy (no corrections)	-6.64	eV/atom
space-group type	No. 12
theoretical density	3.5	g/cm3
total magnetization	0.0	μB per formula unit
uncorrected formation energy	-0.390	eV/atom

Here is a relaxed structure of NaVN from Alexandria via LeMat-Bulk. Energies are from GGA-PBE.

Cell: 2.885 2.885 10.367 Å, 90.00 90.12 90.00°
Element x y z (fractional)
Na (0.247, 0.250, 0.154)
Na (0.753, 0.750, 0.846)
V (0.251, 0.250, 0.587)
V (0.749, 0.750, 0.413)
N (0.249, 0.250, 0.393)
N (0.751, 0.750, 0.607)

distance to the lowest polymorph of the same formula	0.0101	eV per atom
total DFT energy (no corrections)	-6.82	eV/atom
space-group type	No. 11
theoretical density	3.4	g/cm3
total magnetization	0.0	μB per formula unit
uncorrected formation energy	-0.564	eV/atom

Here is a relaxed structure of Na2VN from Alexandria via LeMat-Bulk. Energies are from GGA-PBE.

Cell: 7.293 7.293 7.293 Å, 93.87 93.87 149.87°
Element x y z (fractional)
Na (0.375, 0.197, 0.322)
Na (0.803, 0.125, 0.178)
Na (0.875, 0.053, 0.678)
Na (0.947, 0.625, 0.822)
V (0.250, 0.750, 0.500)
V (0.500, 0.500, 0.000)
N (0.000, 0.000, 0.000)
N (0.750, 0.250, 0.500)

total DFT energy (no corrections)	-4.90	eV/atom
space-group type	No. 122
theoretical density	2.0	g/cm3
total magnetization	2.5	μB per formula unit
uncorrected formation energy	0.124	eV/atom

Here is a relaxed structure of NaVN from Alexandria via LeMat-Bulk. Energies are from GGA-PBE.

Cell: 3.300 3.300 9.753 Å, 99.44 99.44 60.57°
Element x y z (fractional)
Na (0.113, 0.113, 0.340)
Na (0.887, 0.887, 0.660)
V (0.306, 0.306, 0.918)
V (0.694, 0.694, 0.082)
N (0.376, 0.376, 0.137)
N (0.624, 0.624, 0.863)

distance to the lowest polymorph of the same formula	0.0396	eV per atom
total DFT energy (no corrections)	-6.79	eV/atom
space-group type	No. 12
theoretical density	3.2	g/cm3
total magnetization	0.0	μB per formula unit
uncorrected formation energy	-0.534	eV/atom

Here is a relaxed structure of NaVN from Alexandria via LeMat-Bulk. Energies are from GGA-PBE.

Cell: 5.339 5.339 5.934 Å, 93.02 93.02 31.66°
Element x y z (fractional)
Na (0.000, 0.000, 0.000)
Na (0.742, 0.742, 0.219)
V (0.249, 0.249, 0.671)
V (0.489, 0.489, 0.528)
N (0.111, 0.111, 0.464)
N (0.862, 0.862, 0.615)

distance to the lowest polymorph of the same formula	0.1991	eV per atom
total DFT energy (no corrections)	-6.63	eV/atom
space-group type	No. 8
theoretical density	3.3	g/cm3
total magnetization	0.1	μB per formula unit
uncorrected formation energy	-0.375	eV/atom

Here is a relaxed structure of NaVN from Alexandria via LeMat-Bulk. Energies are from GGA-PBE.

Cell: 3.167 3.852 8.263 Å, 90.00 90.00 90.00°
Element x y z (fractional)
Na (0.250, 0.250, 0.170)
Na (0.750, 0.750, 0.830)
V (0.250, 0.250, 0.550)
V (0.750, 0.750, 0.450)
N (0.250, 0.750, 0.594)
N (0.750, 0.250, 0.406)

distance to the lowest polymorph of the same formula	0.0000	eV per atom
total DFT energy (no corrections)	-6.83	eV/atom
space-group type	No. 59
theoretical density	2.9	g/cm3
total magnetization	0.0	μB per formula unit
uncorrected formation energy	-0.574	eV/atom

Here is a relaxed structure of NaVN from Alexandria via LeMat-Bulk. Energies are from GGA-PBE.

Cell: 4.769 3.062 5.893 Å, 90.00 91.81 90.00°
Element x y z (fractional)
Na (0.245, 0.250, 0.096)
Na (0.755, 0.750, 0.904)
V (0.217, 0.750, 0.557)
V (0.783, 0.250, 0.443)
N (0.065, 0.250, 0.698)
N (0.935, 0.750, 0.302)

distance to the lowest polymorph of the same formula	0.2381	eV per atom
total DFT energy (no corrections)	-6.59	eV/atom
space-group type	No. 11
theoretical density	3.4	g/cm3
total magnetization	0.1	μB per formula unit
uncorrected formation energy	-0.336	eV/atom

Here is a relaxed structure of Na3V2N4 from Alexandria via LeMat-Bulk. Energies are from GGA-PBE.

Cell: 6.790 6.790 5.701 Å, 91.53 91.53 81.76°
Element x y z (fractional)
Na (0.084, 0.916, 0.750)
Na (0.210, 0.575, 0.445)
Na (0.425, 0.790, 0.055)
Na (0.575, 0.210, 0.945)
Na (0.790, 0.425, 0.555)
Na (0.916, 0.084, 0.250)
V (0.119, 0.341, 0.931)
V (0.341, 0.119, 0.431)
V (0.659, 0.881, 0.569)
V (0.881, 0.659, 0.069)
N (0.148, 0.606, 0.993)
N (0.152, 0.258, 0.622)
N (0.258, 0.152, 0.122)
N (0.394, 0.852, 0.507)
N (0.606, 0.148, 0.493)
N (0.742, 0.848, 0.878)
N (0.848, 0.742, 0.378)
N (0.852, 0.394, 0.007)

total DFT energy (no corrections)	-6.82	eV/atom
space-group type	No. 15
theoretical density	2.9	g/cm3
total magnetization	1.0	μB per formula unit
uncorrected formation energy	-0.651	eV/atom

Here is a relaxed structure of NaVZn2N4 from Alexandria via LeMat-Bulk. Energies are from GGA-PBE.

Cell: 6.888 5.679 5.436 Å, 90.00 90.00 90.00°
Element x y z (fractional)
Na (0.000, 0.177, 0.000)
Na (0.500, 0.823, 0.500)
V (0.000, 0.810, 0.515)
V (0.500, 0.190, 0.015)
Zn (0.245, 0.324, 0.509)
Zn (0.255, 0.676, 0.009)
Zn (0.745, 0.676, 0.009)
Zn (0.755, 0.324, 0.509)
N (0.000, 0.130, 0.464)
N (0.000, 0.770, 0.845)
N (0.197, 0.652, 0.373)
N (0.303, 0.348, 0.873)
N (0.500, 0.230, 0.345)
N (0.500, 0.870, 0.964)
N (0.697, 0.348, 0.873)
N (0.803, 0.652, 0.373)

total DFT energy (no corrections)	-5.82	eV/atom
space-group type	No. 31
theoretical density	4.1	g/cm3
total magnetization	1.9	μB per formula unit
uncorrected formation energy	-0.039	eV/atom

Here is a relaxed structure of Na2WN from Alexandria via LeMat-Bulk. Energies are from GGA-PBE.

Cell: 7.358 7.358 7.358 Å, 94.04 94.04 149.20°
Element x y z (fractional)
Na (0.375, 0.038, 0.163)
Na (0.788, 0.625, 0.663)
Na (0.875, 0.212, 0.837)
Na (0.962, 0.125, 0.337)
W (0.250, 0.750, 0.500)
W (0.500, 0.500, 0.000)
N (0.000, 0.000, 0.000)
N (0.750, 0.250, 0.500)

total DFT energy (no corrections)	-5.41	eV/atom
space-group type	No. 122
theoretical density	4.1	g/cm3
total magnetization	1.8	μB per formula unit
uncorrected formation energy	0.568	eV/atom